[1]
A relaxed CaPuSiAg crystal. Source: Alexandria, functional PBE.

Computed properties:
- space-group type = F-43m (216)
- raw formation energy (eV/atom) = -0.200

a b c (Å): 5.1047 5.1047 5.1047
angles (deg): 60.00 60.00 60.00
Element x y z (fractional)
Ca  0.0000  0.0000  0.0000
Pu  0.5000  0.5000  0.5000
Si  0.7500  0.7500  0.7500
Ag  0.2500  0.2500  0.2500

[2]
A relaxed CaPuAgSn crystal. Source: Alexandria, functional PBE.

Computed properties:
- calculated formation energy (meV per atom) = -300
- space-group type = F-43m (216)

a b c (Å): 5.3195 5.3195 5.3195
angles (deg): 60.00 60.00 60.00
Element x y z (fractional)
Ca  0.0000  0.0000  0.0000
Pu  0.5000  0.5000  0.5000
Ag  0.2500  0.2500  0.2500
Sn  0.7500  0.7500  0.7500

[3]
A relaxed CaPuTlAg crystal. Source: Alexandria, functional PBE.

Computed properties:
- calculated formation energy (meV per atom) = -94
- space-group type = F-43m (216)

a b c (Å): 5.3564 5.3564 5.3564
angles (deg): 60.00 60.00 60.00
Element x y z (fractional)
Ca  0.0000  0.0000  0.0000
Pu  0.5000  0.5000  0.5000
Tl  0.2500  0.2500  0.2500
Ag  0.7500  0.7500  0.7500

[4]
A relaxed CaPuZnAg crystal. Source: Alexandria, functional PBE.

Computed properties:
- calculated formation energy (meV per atom) = -46
- space-group type = F-43m (216)

a b c (Å): 5.1865 5.1865 5.1865
angles (deg): 60.00 60.00 60.00
Element x y z (fractional)
Ca  0.0000  0.0000  0.0000
Pu  0.5000  0.5000  0.5000
Zn  0.7500  0.7500  0.7500
Ag  0.2500  0.2500  0.2500

[5]
A relaxed RbCa2Ag crystal. Source: Alexandria, functional PBE.

Computed properties:
- calculated formation energy (meV per atom) = 206
- space-group type = Fm-3m (225)

a b c (Å): 5.8672 5.8672 5.8672
angles (deg): 60.00 60.00 60.00
Element x y z (fractional)
Rb  0.0000  0.0000  0.0000
Ca  0.2500  0.2500  0.2500
Ca  0.7500  0.7500  0.7500
Ag  0.5000  0.5000  0.5000

[6]
A relaxed RbCa2Ag crystal. Source: Alexandria, functional PBE.

Computed properties:
- calculated formation energy (meV per atom) = -49
- space-group type = P4/mmm (123)

a b c (Å): 3.8721 3.8721 10.7758
angles (deg): 90.00 90.00 90.00
Element x y z (fractional)
Rb  0.0000  0.0000  0.0000
Ca  0.5000  0.5000  0.3391
Ca  0.5000  0.5000  0.6609
Ag  0.0000  0.0000  0.5000

Values for VASP energy, eV/atom, ordered as above
-6.352, -6.097, -5.482, -5.160, -1.750, -2.004